Record 1
Entry from Alexandria via LeMat-Bulk: a geometry-optimized Ti3BeNb structure (PBE).

```
data_Ti3BeNb
_chemical_formula_sum 'Ti3 Be1 Nb1'
_space_group_name_H-M_alt 'P m -3 m'
_space_group_IT_number 221
_space_group_name_Hall '-P 4 2 3'
_cell_length_a 4.742
_cell_length_b 4.742
_cell_length_c 4.742
_cell_angle_alpha 90.00
_cell_angle_beta 90.00
_cell_angle_gamma 90.00
loop_
_atom_site_label
_atom_site_fract_x
_atom_site_fract_y
_atom_site_fract_z
Ti1 0.000 0.000 0.500
Be1 0.500 0.500 0.500
Nb1 0.000 0.000 0.000
```

ΔE to the lowest computed polymorph: 0.793 eV/atom
Fermi-level density of states: 8.55 states/eV per cell
raw total energy: -31.0 eV for the cell shown

Record 2
Entry from Alexandria via LeMat-Bulk: a geometry-optimized Ti2BeNb structure (PBE).

```
data_Ti2BeNb
_chemical_formula_sum 'Ti2 Be1 Nb1'
_space_group_name_H-M_alt 'P 4/m m m'
_space_group_IT_number 123
_space_group_name_Hall '-P 4 2'
_cell_length_a 3.194
_cell_length_b 3.194
_cell_length_c 5.998
_cell_angle_alpha 90.00
_cell_angle_beta 90.00
_cell_angle_gamma 90.00
loop_
_atom_site_label
_atom_site_fract_x
_atom_site_fract_y
_atom_site_fract_z
Ti1 0.000 0.000 0.230
Be1 0.500 0.500 0.000
Nb1 0.500 0.500 0.500
```

Fermi-level density of states: 5.56 states/eV per cell
raw total energy: -29.5 eV for the cell shown

Record 3
Entry from Alexandria via LeMat-Bulk: a geometry-optimized TiBe3Nb structure (PBE).

```
data_TiBe3Nb
_chemical_formula_sum 'Ti1 Be3 Nb1'
_space_group_name_H-M_alt 'P m -3 m'
_space_group_IT_number 221
_space_group_name_Hall '-P 4 2 3'
_cell_length_a 4.126
_cell_length_b 4.126
_cell_length_c 4.126
_cell_angle_alpha 90.00
_cell_angle_beta 90.00
_cell_angle_gamma 90.00
loop_
_atom_site_label
_atom_site_fract_x
_atom_site_fract_y
_atom_site_fract_z
Ti1 0.000 0.000 0.000
Be1 0.000 0.000 0.500
Nb1 0.500 0.500 0.500
```

ΔE to the lowest computed polymorph: 1.343 eV/atom
Fermi-level density of states: 3.65 states/eV per cell
raw total energy: -23.2 eV for the cell shown

Record 4
Entry from Alexandria via LeMat-Bulk: a geometry-optimized Ti2BeNb structure (PBE).

```
data_Ti2BeNb
_chemical_formula_sum 'Ti8 Be4 Nb4'
_space_group_name_H-M_alt 'I -4 2 d'
_space_group_IT_number 122
_space_group_name_Hall 'I -4 2bw'
_cell_length_a 3.676
_cell_length_b 3.676
_cell_length_c 18.793
_cell_angle_alpha 90.00
_cell_angle_beta 90.00
_cell_angle_gamma 90.00
loop_
_atom_site_label
_atom_site_fract_x
_atom_site_fract_y
_atom_site_fract_z
Ti1 0.248 0.250 0.125
Be1 0.000 0.000 0.000
Nb1 0.000 0.000 0.500
```

Fermi-level density of states: 21.13 states/eV per cell
raw total energy: -112.5 eV for the cell shown

Record 5
Entry from Alexandria via LeMat-Bulk: a geometry-optimized TiBe2Nb2 structure (PBE).

```
data_TiBe2Nb2
_chemical_formula_sum 'Ti2 Be4 Nb4'
_space_group_name_H-M_alt 'P 4/m b m'
_space_group_IT_number 127
_space_group_name_Hall '-P 4 2ab'
_cell_length_a 6.490
_cell_length_b 6.490
_cell_length_c 3.357
_cell_angle_alpha 90.00
_cell_angle_beta 90.00
_cell_angle_gamma 90.00
loop_
_atom_site_label
_atom_site_fract_x
_atom_site_fract_y
_atom_site_fract_z
Ti1 0.000 0.000 0.000
Be1 0.116 0.384 0.000
Nb1 0.177 0.677 0.500
```

Fermi-level density of states: 13.93 states/eV per cell
raw total energy: -72.1 eV for the cell shown

Record 6
Entry from Alexandria via LeMat-Bulk: a geometry-optimized TiBeNbTl2 structure (PBE).

```
data_TiBeNbTl2
_chemical_formula_sum 'Ti1 Be1 Nb1 Tl2'
_space_group_name_H-M_alt 'P 4/m m m'
_space_group_IT_number 123
_space_group_name_Hall '-P 4 2'
_cell_length_a 4.655
_cell_length_b 4.655
_cell_length_c 4.510
_cell_angle_alpha 90.00
_cell_angle_beta 90.00
_cell_angle_gamma 90.00
loop_
_atom_site_label
_atom_site_fract_x
_atom_site_fract_y
_atom_site_fract_z
Ti1 0.000 0.000 0.000
Be1 0.000 0.000 0.500
Nb1 0.500 0.500 0.000
Tl1 0.000 0.500 0.500
```

Fermi-level density of states: 5.45 states/eV per cell
raw total energy: -22.2 eV for the cell shown

Record 7
Entry from Alexandria via LeMat-Bulk: a geometry-optimized TiBeNbV structure (PBE).

```
data_TiBeNbV
_chemical_formula_sum 'Ti4 Be4 Nb4 V4'
_space_group_name_H-M_alt 'F -4 3 m'
_space_group_IT_number 216
_space_group_name_Hall 'F -4 2 3'
_cell_length_a 6.154
_cell_length_b 6.154
_cell_length_c 6.154
_cell_angle_alpha 90.00
_cell_angle_beta 90.00
_cell_angle_gamma 90.00
loop_
_atom_site_label
_atom_site_fract_x
_atom_site_fract_y
_atom_site_fract_z
Ti1 0.000 0.000 0.000
Be1 0.250 0.250 0.250
Nb1 0.000 0.000 0.500
V1 0.250 0.250 0.750
```

Fermi-level density of states: 21.63 states/eV per cell
raw total energy: -122.0 eV for the cell shown

Record 8
Entry from Alexandria via LeMat-Bulk: a geometry-optimized TiBeNbW structure (PBE).

```
data_TiBeNbW
_chemical_formula_sum 'Ti4 Be4 Nb4 W4'
_space_group_name_H-M_alt 'F -4 3 m'
_space_group_IT_number 216
_space_group_name_Hall 'F -4 2 3'
_cell_length_a 6.274
_cell_length_b 6.274
_cell_length_c 6.274
_cell_angle_alpha 90.00
_cell_angle_beta 90.00
_cell_angle_gamma 90.00
loop_
_atom_site_label
_atom_site_fract_x
_atom_site_fract_y
_atom_site_fract_z
Ti1 0.000 0.000 0.000
Be1 0.250 0.250 0.250
Nb1 0.000 0.000 0.500
W1 0.250 0.250 0.750
```

Fermi-level density of states: 20.34 states/eV per cell
raw total energy: -137.7 eV for the cell shown

Record 9
Entry from Alexandria via LeMat-Bulk: a geometry-optimized BeNbTl2 structure (PBE).

```
data_BeNbTl2
_chemical_formula_sum 'Be4 Nb4 Tl8'
_space_group_name_H-M_alt 'F m -3 m'
_space_group_IT_number 225
_space_group_name_Hall '-F 4 2 3'
_cell_length_a 6.908
_cell_length_b 6.908
_cell_length_c 6.908
_cell_angle_alpha 90.00
_cell_angle_beta 90.00
_cell_angle_gamma 90.00
loop_
_atom_site_label
_atom_site_fract_x
_atom_site_fract_y
_atom_site_fract_z
Be1 0.000 0.000 0.000
Nb1 0.000 0.000 0.500
Tl1 0.250 0.250 0.250
```

ΔE to the lowest computed polymorph: 0.217 eV/atom
Fermi-level density of states: 14.44 states/eV per cell
raw total energy: -59.4 eV for the cell shown

Record 10
Entry from Alexandria via LeMat-Bulk: a geometry-optimized BeNb3Tl structure (PBE).

```
data_BeNb3Tl
_chemical_formula_sum 'Be1 Nb3 Tl1'
_space_group_name_H-M_alt 'P m -3 m'
_space_group_IT_number 221
_space_group_name_Hall '-P 4 2 3'
_cell_length_a 4.492
_cell_length_b 4.492
_cell_length_c 4.492
_cell_angle_alpha 90.00
_cell_angle_beta 90.00
_cell_angle_gamma 90.00
loop_
_atom_site_label
_atom_site_fract_x
_atom_site_fract_y
_atom_site_fract_z
Be1 0.000 0.000 0.000
Nb1 0.000 0.000 0.500
Tl1 0.500 0.500 0.500
```

ΔE to the lowest computed polymorph: 0.000 eV/atom
Fermi-level density of states: 0.22 states/eV per cell
raw total energy: -34.2 eV for the cell shown

Record 11
Entry from Alexandria via LeMat-Bulk: a geometry-optimized Be2Nb2Tl structure (PBE).

```
data_Be2Nb2Tl
_chemical_formula_sum 'Be4 Nb4 Tl2'
_space_group_name_H-M_alt 'P 4/m b m'
_space_group_IT_number 127
_space_group_name_Hall '-P 4 2ab'
_cell_length_a 6.426
_cell_length_b 6.426
_cell_length_c 3.598
_cell_angle_alpha 90.00
_cell_angle_beta 90.00
_cell_angle_gamma 90.00
loop_
_atom_site_label
_atom_site_fract_x
_atom_site_fract_y
_atom_site_fract_z
Be1 0.112 0.388 0.000
Nb1 0.174 0.674 0.500
Tl1 0.000 0.000 0.000
```

Fermi-level density of states: 4.52 states/eV per cell
raw total energy: -59.2 eV for the cell shown

Record 12
Entry from Alexandria via LeMat-Bulk: a geometry-optimized BeNb4Tl2 structure (PBE).

```
data_BeNb4Tl2
_chemical_formula_sum 'Be2 Nb8 Tl4'
_space_group_name_H-M_alt 'I 4/m m m'
_space_group_IT_number 139
_space_group_name_Hall '-I 4 2'
_cell_length_a 4.350
_cell_length_b 4.350
_cell_length_c 14.909
_cell_angle_alpha 90.00
_cell_angle_beta 90.00
_cell_angle_gamma 90.00
loop_
_atom_site_label
_atom_site_fract_x
_atom_site_fract_y
_atom_site_fract_z
Be1 0.000 0.000 0.000
Nb1 0.000 0.000 0.155
Nb2 0.000 0.500 0.000
Tl1 0.000 0.000 0.353
```

Fermi-level density of states: 4.49 states/eV per cell
raw total energy: -90.1 eV for the cell shown

Record 13
Entry from Alexandria via LeMat-Bulk: a geometry-optimized BeNb3Tl structure (PBE).

```
data_BeNb3Tl
_chemical_formula_sum 'Be1 Nb3 Tl1'
_space_group_name_H-M_alt 'P m -3 m'
_space_group_IT_number 221
_space_group_name_Hall '-P 4 2 3'
_cell_length_a 5.086
_cell_length_b 5.086
_cell_length_c 5.086
_cell_angle_alpha 90.00
_cell_angle_beta 90.00
_cell_angle_gamma 90.00
loop_
_atom_site_label
_atom_site_fract_x
_atom_site_fract_y
_atom_site_fract_z
Be1 0.000 0.000 0.000
Nb1 0.000 0.500 0.500
Tl1 0.500 0.500 0.500
```

ΔE to the lowest computed polymorph: 1.951 eV/atom
Fermi-level density of states: 2.60 states/eV per cell
raw total energy: -24.4 eV for the cell shown

Record 14
Entry from Alexandria via LeMat-Bulk: a geometry-optimized Be3NbTl structure (PBE).

```
data_Be3NbTl
_chemical_formula_sum 'Be3 Nb1 Tl1'
_space_group_name_H-M_alt 'P m -3 m'
_space_group_IT_number 221
_space_group_name_Hall '-P 4 2 3'
_cell_length_a 4.570
_cell_length_b 4.570
_cell_length_c 4.570
_cell_angle_alpha 90.00
_cell_angle_beta 90.00
_cell_angle_gamma 90.00
loop_
_atom_site_label
_atom_site_fract_x
_atom_site_fract_y
_atom_site_fract_z
Be1 0.000 0.000 0.500
Nb1 0.000 0.000 0.000
Tl1 0.500 0.500 0.500
```

ΔE to the lowest computed polymorph: 0.000 eV/atom
Fermi-level density of states: 3.94 states/eV per cell
raw total energy: -16.5 eV for the cell shown

Record 15
Entry from Alexandria via LeMat-Bulk: a geometry-optimized BeNbTl2 structure (PBE).

```
data_BeNbTl2
_chemical_formula_sum 'Be4 Nb4 Tl8'
_space_group_name_H-M_alt 'I -4 2 d'
_space_group_IT_number 122
_space_group_name_Hall 'I -4 2bw'
_cell_length_a 7.439
_cell_length_b 7.439
_cell_length_c 5.726
_cell_angle_alpha 90.00
_cell_angle_beta 90.00
_cell_angle_gamma 90.00
loop_
_atom_site_label
_atom_site_fract_x
_atom_site_fract_y
_atom_site_fract_z
Be1 0.000 0.000 0.000
Nb1 0.000 0.000 0.500
Tl1 0.199 0.250 0.125
```

ΔE to the lowest computed polymorph: 0.000 eV/atom
Fermi-level density of states: 17.46 states/eV per cell
raw total energy: -62.9 eV for the cell shown

Record 16
Entry from Alexandria via LeMat-Bulk: a geometry-optimized Be3NbTl structure (PBE).

```
data_Be3NbTl
_chemical_formula_sum 'Be3 Nb1 Tl1'
_space_group_name_H-M_alt 'P m -3 m'
_space_group_IT_number 221
_space_group_name_Hall '-P 4 2 3'
_cell_length_a 4.384
_cell_length_b 4.384
_cell_length_c 4.384
_cell_angle_alpha 90.00
_cell_angle_beta 90.00
_cell_angle_gamma 90.00
loop_
_atom_site_label
_atom_site_fract_x
_atom_site_fract_y
_atom_site_fract_z
Be1 0.000 0.000 0.500
Nb1 0.500 0.500 0.500
Tl1 0.000 0.000 0.000
```

ΔE to the lowest computed polymorph: 0.039 eV/atom
Fermi-level density of states: 2.32 states/eV per cell
raw total energy: -16.3 eV for the cell shown

Record 17
Entry from Alexandria via LeMat-Bulk: a geometry-optimized YBeNb2Tl structure (PBE).

```
data_YBeNb2Tl
_chemical_formula_sum 'Y1 Be1 Nb2 Tl1'
_space_group_name_H-M_alt 'P 4/m m m'
_space_group_IT_number 123
_space_group_name_Hall '-P 4 2'
_cell_length_a 5.187
_cell_length_b 5.187
_cell_length_c 5.512
_cell_angle_alpha 90.00
_cell_angle_beta 90.00
_cell_angle_gamma 90.00
loop_
_atom_site_label
_atom_site_fract_x
_atom_site_fract_y
_atom_site_fract_z
Y1 0.000 0.000 0.000
Be1 0.500 0.500 0.000
Nb1 0.000 0.500 0.500
Tl1 0.000 0.000 0.500
```

Fermi-level density of states: 2.14 states/eV per cell
raw total energy: -23.2 eV for the cell shown

Record 18
Entry from Alexandria via LeMat-Bulk: a geometry-optimized TmBe2Nb structure (PBE).

```
data_TmBe2Nb
_chemical_formula_sum 'Tm1 Be2 Nb1'
_space_group_name_H-M_alt 'P 4/m m m'
_space_group_IT_number 123
_space_group_name_Hall '-P 4 2'
_cell_length_a 3.282
_cell_length_b 3.282
_cell_length_c 5.897
_cell_angle_alpha 90.00
_cell_angle_beta 90.00
_cell_angle_gamma 90.00
loop_
_atom_site_label
_atom_site_fract_x
_atom_site_fract_y
_atom_site_fract_z
Tm1 0.000 0.000 0.000
Be1 0.500 0.500 0.309
Nb1 0.000 0.000 0.500
```

Fermi-level density of states: 3.60 states/eV per cell
raw total energy: -21.8 eV for the cell shown

Record 19
Entry from Alexandria via LeMat-Bulk: a geometry-optimized UBeNb2 structure (PBE).

```
data_UBeNb2
_chemical_formula_sum 'U3 Be3 Nb6'
_space_group_name_H-M_alt 'R -3 m'
_space_group_IT_number 166
_space_group_name_Hall '-R 3 2"'
_cell_length_a 2.8853
_cell_length_b 2.8853
_cell_length_c 29.2467
_cell_angle_alpha 90.00
_cell_angle_beta 90.00
_cell_angle_gamma 120.00
loop_
_atom_site_label
_atom_site_fract_x
_atom_site_fract_y
_atom_site_fract_z
U1 0.0000 0.0000 0.0000
Be1 0.0000 0.0000 0.5000
Nb1 0.0000 0.0000 0.0974
```

Fermi-level density of states: 17.87 states/eV per cell
raw total energy: -99.0 eV for the cell shown

Record 20
Entry from Alexandria via LeMat-Bulk: a geometry-optimized Be9Nb2V structure (PBE).

```
data_Be9Nb2V
_chemical_formula_sum 'Be27 Nb6 V3'
_space_group_name_H-M_alt 'R -3 m'
_space_group_IT_number 166
_space_group_name_Hall '-R 3 2"'
_cell_length_a 4.5190
_cell_length_b 4.5190
_cell_length_c 20.8229
_cell_angle_alpha 90.00
_cell_angle_beta 90.00
_cell_angle_gamma 120.00
loop_
_atom_site_label
_atom_site_fract_x
_atom_site_fract_y
_atom_site_fract_z
Be1 0.0000 0.0000 0.0000
Be2 0.0000 0.0000 0.1656
Be3 0.0052 0.5026 0.4196
Nb1 0.0000 0.0000 0.3604
V1 0.0000 0.0000 0.5000
```

ΔE to the lowest computed polymorph: 0.000 eV/atom
Fermi-level density of states: 9.93 states/eV per cell
raw total energy: -194.8 eV for the cell shown

no.,formation energy (eV per atom),total moment (Bohr magnetons per cell)
1,1.30,0.9
2,0.01,0.0
3,1.20,1.4
4,0.37,0.0
5,-0.11,0.0
6,0.84,0.0
7,0.08,3.7
8,0.06,0.0
9,0.92,8.2
10,0.42,0.0
11,0.07,0.0
12,0.53,0.0
13,2.38,0.0
14,1.42,0.0
15,0.70,0.0
16,1.46,0.0
17,1.89,2.0
18,0.06,0.0
19,0.54,0.0
20,-0.18,0.0